HgSb3W | PBE | optimized geometry

formation energy (no corrections)	0.538	eV per atom
SG	Pm-3m
total magnetization	0.00	μB per cell
energy above the most stable polymorph in this dataset	0.000	eV per atom
crystal system	cubic

Geometry as POSCAR:
```
HgSb3W
1.0
-1.381 -4.236 2.858
5.110 -1.172 0.733
0.046 2.950 4.395
Sb Hg W
3 1 1
Cartesian
2.555 -0.586 0.367
0.023 1.475 2.197
-0.691 -2.118 1.429
1.887 -1.229 3.993
0.000 0.000 0.000
```

HgSbW4 | PBE | optimized geometry

formation energy (no corrections)	0.820	eV per atom
SG	F-43m
total magnetization	0.00	μB per cell
crystal system	cubic

Geometry as POSCAR:
```
HgSbW4
1.0
4.385 -1.343 2.889
-0.559 -1.962 5.021
1.088 -5.212 1.010
Hg Sb W
1 1 4
Cartesian
3.685 -6.388 6.690
0.000 0.000 0.000
4.005 -3.873 4.783
2.387 -5.771 3.861
1.580 -4.176 5.829
1.854 -3.214 3.366
```

HgSbW2 | PBE | optimized geometry

formation energy (no corrections)	1.023	eV per atom
SG	Cmmm
total magnetization	0.00	μB per cell
energy above the most stable polymorph in this dataset	0.576	eV per atom
crystal system	orthorhombic

Geometry as POSCAR:
```
HgSbW2
1.0
-2.904 -0.593 -0.285
1.658 -1.470 -1.989
0.858 -7.053 5.927
Hg Sb W
1 1 2
Cartesian
-0.408 -2.795 0.345
0.021 -6.321 3.308
0.849 -6.978 5.863
0.438 -3.602 3.027
```